Record 1
Compound: NaZnSn3
Source: the Alexandria database
Functional: GGA-PBE
Structure: optimized geometry

Geometry as POSCAR:
```
NaZnSn3
1.0
-2.059 -3.438 -3.687
-0.568 -3.799 3.860
-5.009 1.844 1.078
Na Zn Sn
1 1 3
Cartesian
0.000 0.000 0.000 Na
-3.818 -2.697 0.625 Zn
-0.284 -1.900 1.930 Sn
-2.505 0.922 0.539 Sn
-1.030 -1.719 -1.844 Sn
```

## Properties
Energy above the lowest structure with this stoichiometry: 788.1 meV/atom

***

Record 2
Compound: NaZnSn
Source: the Alexandria database
Functional: GGA-PBE
Structure: optimized geometry

Geometry as POSCAR:
```
NaZnSn
1.0
3.442 0.000 0.000
0.000 3.442 0.000
-1.721 -1.721 6.053
Na Zn Sn
1 1 1
Cartesian
1.721 1.721 5.921 Na
0.000 0.000 3.944 Zn
1.721 1.721 2.241 Sn
```

## Properties
VASP energy: -6.621 eV for the cell shown

***

Record 3
Compound: NaZn2Sn
Source: the Alexandria database
Functional: GGA-PBE
Structure: optimized geometry

Geometry as POSCAR:
```
NaZn2Sn
1.0
-0.480 -1.103 3.270
1.968 -2.799 -0.656
5.917 3.667 2.106
Na Zn Sn
1 2 1
Cartesian
3.703 -0.118 2.360 Na
4.495 2.785 1.600 Zn
1.422 0.881 0.506 Zn
0.744 -1.951 1.307 Sn
```

## Properties
VASP energy: -7.553 eV for the cell shown

***

Record 4
Compound: Na3Zn5Sn2
Source: the Alexandria database
Functional: GGA-PBE
Structure: optimized geometry

Geometry as POSCAR:
```
Na3Zn5Sn2
1.0
-3.318 -2.591 7.509
-4.090 -7.589 0.508
3.828 -6.343 4.437
Na Zn Sn
6 10 4
Cartesian
-0.830 -0.648 1.877 Na
-2.489 -1.943 5.631 Na
0.693 -9.117 7.029 Na
-4.273 -7.406 5.425 Na
-5.288 -11.092 8.639 Na
1.708 -5.430 3.815 Na
-0.960 -7.614 4.350 Zn
-2.619 -8.909 8.104 Zn
-1.931 -11.464 7.527 Zn
-3.308 -6.354 8.682 Zn
-1.649 -5.059 4.927 Zn
-0.272 -10.168 3.773 Zn
-1.013 -5.784 2.491 Zn
-2.567 -10.738 9.964 Zn
-1.591 -6.910 6.782 Zn
-1.989 -9.613 5.673 Zn
0.281 -11.901 5.886 Sn
-3.860 -4.622 6.568 Sn
-3.469 -13.525 8.603 Sn
-0.111 -2.997 3.851 Sn
```

## Properties
VASP energy: -37.262 eV for the cell shown